[1]
Er4In2C PBE optimized geometry; space-group type = I4/mmm; excess energy over the best structure of this formula in the dataset = 0.0000 eV per atom
1.0
-4.8511 0.4154 -0.3533
-0.4753 -1.6697 4.5626
-2.2493 6.4445 4.7356
C In Er
1 2 4
direct
0.0000 0.0000 0.0000
0.6323 0.6323 0.7354
0.3677 0.3677 0.2646
0.8392 0.8392 0.3216
0.1608 0.1608 0.6784
0.0000 0.5000 0.0000
0.5000 0.0000 0.0000

***

[2]
Er7In2C2 PBE optimized geometry; space-group type = Imm2
1.0
-1.8552 -2.9050 -0.2071
-0.2483 -1.2482 -9.0519
6.4209 -5.9680 -2.5906
Er In C
7 2 2
direct
0.8075 0.1111 0.2740
0.8439 0.3779 0.9343
0.5000 0.0392 0.9608
0.6397 0.4651 0.2554
0.3603 0.7446 0.5349
0.1925 0.7260 0.8889
0.1561 0.0657 0.6221
0.0000 0.7808 0.2192
0.5000 0.3658 0.6342
0.7340 0.8548 0.6772
0.2660 0.3228 0.1452

***

[3]
La2ErInC PBE optimized geometry; space-group type = P4/mmm
1.0
4.9176 0.0000 0.0000
0.0000 5.2422 0.0000
0.0000 0.0000 5.2422
La Er In C
2 1 1 1
direct
0.0000 0.0000 0.5000
0.0000 0.5000 0.0000
0.5000 0.0000 0.0000
0.5000 0.5000 0.5000
0.0000 0.0000 0.0000

***

In Ry per atom, the total DFT energy (no corrections) values for the records above are, in order, -0.3741 -0.3850 -0.4144.
In meV/atom, the energy relative to the elements values for the records above are, in order, -383 -160 -362.